(1)
Density functional theory data (GGA-PBE) for a relaxed structure of Y4MgRu.

The structure in extended XYZ format:
```
12
Lattice="4.476 -6.422 0.000 4.476 6.422 0.000 -1.873 0.000 5.909" Properties=species:S:1:pos:R:3 pbc="T T T"
Y 1.761 4.264 5.623
Y 1.334 1.085 3.636
Y 4.380 4.264 3.241
Y 2.270 -1.085 0.681
Y 4.808 1.085 5.228
Y 2.698 -4.264 2.668
Y 5.745 -1.085 2.273
Y 5.317 -4.264 0.286
Mg 4.007 1.557 1.477
Mg 3.071 -1.557 4.432
Ru 3.071 6.407 4.432
Ru 4.007 -6.407 1.477
```

## Properties
Size of the total moment (μB per formula unit): 0.00
DOS at the Fermi energy (states/eV per cell): 13.351
Relative energy among the computed polymorphs (meV/atom): 48



(2)
Density functional theory data (GGA-PBE) for a relaxed structure of YMg2Ru.

The structure in extended XYZ format:
```
4
Lattice="2.833 -4.261 0.000 2.833 4.261 0.000 0.000 0.000 3.398" Properties=species:S:1:pos:R:3 pbc="T T T"
Y 0.000 0.000 0.000
Mg 1.417 2.130 1.699
Mg 1.417 -2.130 1.699
Ru 2.833 0.000 0.000
```

## Properties
Size of the total moment (μB per formula unit): 0.00
DOS at the Fermi energy (states/eV per cell): 3.580



(3)
Density functional theory data (GGA-PBE) for a relaxed structure of YMg8Ru2.

The structure in extended XYZ format:
```
11
Lattice="4.017 -6.068 0.000 4.017 6.068 0.000 -1.302 0.000 5.024" Properties=species:S:1:pos:R:3 pbc="T T T"
Y 0.000 0.000 0.000
Mg 0.851 1.593 2.931
Mg 4.017 2.820 0.000
Mg 0.851 -1.593 2.931
Mg 3.051 0.000 1.143
Mg 3.680 0.000 3.881
Mg 5.881 1.593 2.092
Mg 4.017 -2.820 0.000
Mg 5.881 -1.593 2.092
Ru 3.366 2.323 2.512
Ru 3.366 -2.323 2.512
```

## Properties
Size of the total moment (μB per formula unit): 0.00
DOS at the Fermi energy (states/eV per cell): 6.226



(4)
Density functional theory data (GGA-PBE) for a relaxed structure of YMgRu2.

The structure in extended XYZ format:
```
4
Lattice="3.261 0.000 0.000 0.000 4.399 0.000 -1.625 0.000 5.355" Properties=species:S:1:pos:R:3 pbc="T T T"
Y 0.000 0.000 0.000
Mg 1.639 2.199 1.871
Ru 0.016 0.000 2.938
Ru 0.006 2.199 4.117
```

## Properties
Size of the total moment (μB per formula unit): 0.00
DOS at the Fermi energy (states/eV per cell): 4.589



(5)
Density functional theory data (GGA-PBE) for a relaxed structure of Y6MgRu5.

The structure in extended XYZ format:
```
12
Lattice="-2.450 3.485 7.286 2.450 -3.485 7.286 2.450 3.485 -7.286" Properties=species:S:1:pos:R:3 pbc="T T T"
Y 2.450 1.681 -2.525
Y 0.000 1.624 0.000
Y 2.450 1.681 2.525
Y 0.000 1.804 4.761
Y 0.000 5.346 0.000
Y 0.000 1.804 9.812
Mg 0.000 0.000 7.286
Ru 2.450 0.000 0.000
Ru 0.000 0.000 2.428
Ru 2.450 0.000 4.944
Ru 0.000 3.485 2.342
Ru 0.000 0.000 12.144
```

## Properties
Size of the total moment (μB per formula unit): 0.00
DOS at the Fermi energy (states/eV per cell): 7.626



(6)
Density functional theory data (GGA-PBE) for a relaxed structure of Y5MgRu.

The structure in extended XYZ format:
```
14
Lattice="4.598 -3.781 0.000 4.598 3.781 0.000 -3.339 0.000 11.478" Properties=species:S:1:pos:R:3 pbc="T T T"
Y 2.094 3.633 8.609
Y 0.204 1.226 7.143
Y 0.319 1.291 10.700
Y 1.873 -1.226 1.404
Y 3.870 1.291 6.517
Y 1.988 -1.291 4.961
Y 3.984 1.226 10.075
Y 5.539 -1.291 0.778
Y 5.654 -1.226 4.336
Y 3.764 -3.633 2.870
Mg 3.764 0.831 2.870
Mg 2.094 -0.831 8.609
Ru 0.000 0.000 0.000
Ru -1.669 0.000 5.739
```

## Properties
Size of the total moment (μB per formula unit): 0.00
DOS at the Fermi energy (states/eV per cell): 14.508



(7)
Density functional theory data (GGA-PBE) for a relaxed structure of YMg2Ru.

The structure in extended XYZ format:
```
4
Lattice="0.000 3.433 3.433 3.433 0.000 3.433 3.433 3.433 0.000" Properties=species:S:1:pos:R:3 pbc="T T T"
Y 0.000 0.000 0.000
Mg 3.433 3.433 3.433
Mg 5.150 5.150 5.150
Ru 1.717 1.717 1.717
```

## Properties
Size of the total moment (μB per formula unit): 0.00
DOS at the Fermi energy (states/eV per cell): 3.410



(8)
Density functional theory data (GGA-PBE) for a relaxed structure of Y2MgRu2.

The structure in extended XYZ format:
```
10
Lattice="5.020 -2.736 0.000 5.020 2.736 0.000 -2.319 0.000 7.799" Properties=species:S:1:pos:R:3 pbc="T T T"
Y 1.570 1.869 6.653
Y 4.992 1.869 5.046
Y 2.730 -1.869 2.754
Y 6.151 -1.869 1.146
Mg 4.441 0.799 1.950
Mg 3.281 -0.799 5.850
Ru 2.484 0.885 3.852
Ru 6.397 0.885 0.048
Ru 1.325 -0.885 7.752
Ru 5.237 -0.885 3.948
```

## Properties
Size of the total moment (μB per formula unit): 0.00
DOS at the Fermi energy (states/eV per cell): 11.469



ΔE_f, record by record: -0.192; 0.155; 0.120; 0.052; -0.283; -0.063; -0.046; -0.244 eV/atom